Version P
# Ta2CdBr PBE relaxed
data_Ta2CdBr
_chemical_formula_sum 'Ta2 Cd1 Br1'
_cell_length_a 3.061
_cell_length_b 3.061
_cell_length_c 7.916
_cell_angle_alpha 90.00
_cell_angle_beta 90.00
_cell_angle_gamma 90.00
_symmetry_space_group_name_H-M 'P 4/m m m'
_symmetry_Int_Tables_number 123
_symmetry_space_group_name_Hall '-P 4 2'
loop_
_atom_site_label
_atom_site_type_symbol
_atom_site_fract_x
_atom_site_fract_y
_atom_site_fract_z
Ta1 Ta 0.000 0.000 0.234
Cd1 Cd 0.500 0.500 0.500
Br1 Br 0.500 0.500 0.000
# * total magnetic moment: 0.00 μB per formula unit



Version Q
# Ta2CdBr PBE relaxed
data_Ta2CdBr
_chemical_formula_sum 'Ta4 Cd2 Br2'
_cell_length_a 3.521
_cell_length_b 4.998
_cell_length_c 10.216
_cell_angle_alpha 90.00
_cell_angle_beta 90.00
_cell_angle_gamma 90.00
_symmetry_space_group_name_H-M 'C m m 2'
_symmetry_Int_Tables_number 35
_symmetry_space_group_name_Hall 'C 2 -2'
loop_
_atom_site_label
_atom_site_type_symbol
_atom_site_fract_x
_atom_site_fract_y
_atom_site_fract_z
Ta1 Ta 0.000 0.000 0.000
Ta2 Ta 0.000 0.500 0.204
Cd1 Cd 0.000 0.500 0.767
Br1 Br 0.000 0.000 0.408
# * total magnetic moment: 0.00 μB per formula unit



Relative energies, in meV/atom, with the most stable structure set to zero: version P 499; version Q 0.



Version P
# Ta2CdBr PBE relaxed
data_Ta2CdBr
_chemical_formula_sum 'Ta4 Cd2 Br2'
_cell_length_a 3.076
_cell_length_b 5.148
_cell_length_c 10.467
_cell_angle_alpha 90.00
_cell_angle_beta 90.00
_cell_angle_gamma 90.00
_symmetry_space_group_name_H-M 'I m m 2'
_symmetry_Int_Tables_number 44
_symmetry_space_group_name_Hall 'I 2 -2'
loop_
_atom_site_label
_atom_site_type_symbol
_atom_site_fract_x
_atom_site_fract_y
_atom_site_fract_z
Ta1 Ta 0.000 0.000 0.000
Ta2 Ta 0.000 0.500 0.288
Cd1 Cd 0.000 0.000 0.505
Br1 Br 0.000 0.500 0.720
# * total magnetic moment: 0.00 μB per formula unit



Version Q
# Ta2CdBr PBE relaxed
data_Ta2CdBr
_chemical_formula_sum 'Ta8 Cd4 Br4'
_cell_length_a 4.054
_cell_length_b 4.054
_cell_length_c 20.802
_cell_angle_alpha 90.00
_cell_angle_beta 90.00
_cell_angle_gamma 90.00
_symmetry_space_group_name_H-M 'I -4 2 d'
_symmetry_Int_Tables_number 122
_symmetry_space_group_name_Hall 'I -4 2bw'
loop_
_atom_site_label
_atom_site_type_symbol
_atom_site_fract_x
_atom_site_fract_y
_atom_site_fract_z
Ta1 Ta 0.239 0.250 0.125
Cd1 Cd 0.000 0.000 0.000
Br1 Br 0.000 0.000 0.500
# * total magnetic moment: 0.00 μB per formula unit



Version R
# Ta2CdBr PBE relaxed
data_Ta2CdBr
_chemical_formula_sum 'Ta4 Cd2 Br2'
_cell_length_a 5.768
_cell_length_b 9.197
_cell_length_c 2.980
_cell_angle_alpha 90.00
_cell_angle_beta 90.00
_cell_angle_gamma 90.00
_symmetry_space_group_name_H-M 'C m m m'
_symmetry_Int_Tables_number 65
_symmetry_space_group_name_Hall '-C 2 2'
loop_
_atom_site_label
_atom_site_type_symbol
_atom_site_fract_x
_atom_site_fract_y
_atom_site_fract_z
Ta1 Ta 0.250 0.250 0.000
Cd1 Cd 0.000 0.000 0.500
Br1 Br 0.000 0.500 0.500
# * total magnetic moment: 0.00 μB per formula unit



Version S
# Ta2CdBr PBE relaxed
data_Ta2CdBr
_chemical_formula_sum 'Ta2 Cd1 Br1'
_cell_length_a 3.044
_cell_length_b 4.796
_cell_length_c 5.474
_cell_angle_alpha 90.00
_cell_angle_beta 90.14
_cell_angle_gamma 90.00
_symmetry_space_group_name_H-M 'P 1 2/m 1'
_symmetry_Int_Tables_number 10
_symmetry_space_group_name_Hall '-P 2y'
loop_
_atom_site_label
_atom_site_type_symbol
_atom_site_fract_x
_atom_site_fract_y
_atom_site_fract_z
Ta1 Ta 0.115 0.000 0.260
Cd1 Cd 0.500 0.500 0.500
Br1 Br 0.000 0.500 0.000
# * total magnetic moment: 0.00 μB per formula unit



Relative energies, in meV/atom, with the most stable structure set to zero: version P 0; version Q 236; version R 249; version S 31.



Version P
# Ta2CdBr PBE relaxed
data_Ta2CdBr
_chemical_formula_sum 'Ta8 Cd4 Br4'
_cell_length_a 6.696
_cell_length_b 6.696
_cell_length_c 6.696
_cell_angle_alpha 90.00
_cell_angle_beta 90.00
_cell_angle_gamma 90.00
_symmetry_space_group_name_H-M 'F m -3 m'
_symmetry_Int_Tables_number 225
_symmetry_space_group_name_Hall '-F 4 2 3'
loop_
_atom_site_label
_atom_site_type_symbol
_atom_site_fract_x
_atom_site_fract_y
_atom_site_fract_z
Ta1 Ta 0.250 0.250 0.250
Cd1 Cd 0.000 0.000 0.000
Br1 Br 0.000 0.000 0.500
# * total magnetic moment: 0.00 μB per formula unit



Version Q
# Ta2CdBr PBE relaxed
data_Ta2CdBr
_chemical_formula_sum 'Ta4 Cd2 Br2'
_cell_length_a 4.063
_cell_length_b 4.063
_cell_length_c 9.927
_cell_angle_alpha 90.00
_cell_angle_beta 90.00
_cell_angle_gamma 90.00
_symmetry_space_group_name_H-M 'I 4/m m m'
_symmetry_Int_Tables_number 139
_symmetry_space_group_name_Hall '-I 4 2'
loop_
_atom_site_label
_atom_site_type_symbol
_atom_site_fract_x
_atom_site_fract_y
_atom_site_fract_z
Ta1 Ta 0.000 0.500 0.250
Cd1 Cd 0.000 0.000 0.000
Br1 Br 0.000 0.000 0.500
# * total magnetic moment: 0.00 μB per formula unit



Relative energies, in meV/atom, with the most stable structure set to zero: version P 0; version Q 61.